1.
The following is a DFT calculation (PBE-GGA) of crystalline ZnCd4Ga at its relaxed geometry.

* formation enthalpy at 0 K: 0.1846 eV per atom
* space group: No. 216
* energy relative to the lowest polymorph listed for this composition: 0.823 eV per formula unit

```
6
Lattice="0.0000 4.1131 4.1131 4.1131 0.0000 4.1131 4.1131 4.1131 0.0000" Properties=species:S:1:pos:R:3 pbc="T T T"
Zn 0.0000 0.0000 0.0000
Cd 3.0843 3.0843 3.0843
Cd 5.1419 5.1419 3.0843
Cd 5.1419 3.0843 5.1419
Cd 3.0843 5.1419 5.1419
Ga 6.1697 6.1697 6.1697
```



2.
The following is a DFT calculation (PBE-GGA) of crystalline Tm3Zr5 at its relaxed geometry.

* formation enthalpy at 0 K: 0.0689 eV per atom
* space group: No. 123

```
8
Lattice="3.2977 0.0000 0.0000 0.0000 3.2977 0.0000 0.0000 0.0000 18.6373" Properties=species:S:1:pos:R:3 pbc="T T T"
Tm 0.0000 0.0000 0.0000
Tm 1.6489 1.6489 2.6014
Tm 1.6489 1.6489 16.0359
Zr 0.0000 0.0000 4.9534
Zr 0.0000 0.0000 9.3186
Zr 0.0000 0.0000 13.6838
Zr 1.6489 1.6489 7.1367
Zr 1.6489 1.6489 11.5005
```



3.
The following is a DFT calculation (PBE-GGA) of crystalline BaCeGaHg at its relaxed geometry.

* formation enthalpy at 0 K: -0.2564 eV per atom
* space group: No. 216

```
4
Lattice="0.0000 3.9602 3.9602 3.9602 0.0000 3.9602 3.9602 3.9602 0.0000" Properties=species:S:1:pos:R:3 pbc="T T T"
Ba 0.0000 0.0000 0.0000
Ce 3.9602 3.9602 3.9602
Ga 5.9403 5.9403 5.9403
Hg 1.9801 1.9801 1.9801
```